Record 1
Computed, not measured: a relaxed V12Cu3Tc5 crystal at the PBE level of DFT.

Lattice parameters (Å, degrees): 12.133 12.133 12.133 109.47 109.47 109.47
Atoms (fractional coordinates):
1 Cu 0.750 0.375 0.125
2 Cu 0.875 0.750 0.125
3 Cu 0.375 0.750 0.625
4 Cu 0.250 0.125 0.375
5 Cu 0.875 0.125 0.250
6 Cu 0.375 0.625 0.250
7 Cu 0.625 0.375 0.750
8 Cu 0.125 0.875 0.750
9 Cu 0.750 0.875 0.625
10 Cu 0.625 0.250 0.375
11 Cu 0.125 0.250 0.875
12 Cu 0.250 0.625 0.875
13 Tc 0.125 0.375 0.250
14 Tc 0.000 0.500 0.000
15 Tc 0.000 0.000 0.000
16 Tc 0.375 0.250 0.125
17 Tc 0.500 0.000 0.500
18 Tc 0.500 0.500 0.000
19 Tc 0.125 0.750 0.375
20 Tc 0.750 0.125 0.875
21 Tc 0.750 0.625 0.375
22 Tc 0.375 0.125 0.750
23 Tc 0.625 0.875 0.250
24 Tc 0.500 0.500 0.500
25 Tc 0.500 0.000 0.000
26 Tc 0.000 0.000 0.500
27 Tc 0.250 0.375 0.625
28 Tc 0.250 0.875 0.125
29 Tc 0.000 0.500 0.500
30 Tc 0.875 0.250 0.625
31 Tc 0.625 0.750 0.875
32 Tc 0.875 0.625 0.750
33 V 0.727 0.146 0.063
34 V 0.336 0.563 0.417
35 V 0.937 0.354 0.273
36 V 0.563 0.227 0.146
37 V 0.582 0.727 0.664
38 V 0.937 0.583 0.164
39 V 0.336 0.773 0.418
40 V 0.083 0.918 0.146
41 V 0.583 0.937 0.664
42 V 0.727 0.582 0.164
43 V 0.773 0.437 0.354
44 V 0.836 0.917 0.063
45 V 0.146 0.727 0.563
46 V 0.354 0.417 0.082
47 V 0.082 0.917 0.354
48 V 0.418 0.146 0.583
49 V 0.082 0.164 0.227
50 V 0.437 0.664 0.083
51 V 0.836 0.918 0.273
52 V 0.146 0.418 0.083
53 V 0.354 0.937 0.773
54 V 0.583 0.646 0.418
55 V 0.917 0.836 0.563
56 V 0.773 0.336 0.918
57 V 0.417 0.354 0.582
58 V 0.083 0.164 0.437
59 V 0.227 0.664 0.082
60 V 0.164 0.082 0.727
61 V 0.646 0.063 0.227
62 V 0.854 0.582 0.917
63 V 0.563 0.336 0.917
64 V 0.582 0.854 0.417
65 V 0.918 0.836 0.773
66 V 0.918 0.083 0.646
67 V 0.854 0.273 0.437
68 V 0.164 0.083 0.937
69 V 0.646 0.583 0.918
70 V 0.417 0.063 0.336
71 V 0.273 0.418 0.836
72 V 0.227 0.563 0.646
73 V 0.917 0.082 0.854
74 V 0.664 0.227 0.582
75 V 0.437 0.773 0.854
76 V 0.063 0.417 0.836
77 V 0.418 0.273 0.336
78 V 0.063 0.646 0.727
79 V 0.664 0.437 0.583
80 V 0.273 0.854 0.937

Computed properties:
- calculated volume (Å³ per cell) = 1374.9
- total magnetization (μB/cell) = 0.06
- total energy (eV per atom) = -7.627
- space group = Ia-3d

Record 2
Computed, not measured: a relaxed Mn2SnPd6 crystal at the PBE level of DFT.

Lattice parameters (Å, degrees): 4.977 7.208 6.476 140.26 107.17 78.71
Each line ends with the local moment (μB).
Atoms (fractional coordinates):
1 Mn 0.664 0.666 0.329  3.87
2 Mn 0.336 0.334 0.671  3.87
3 Sn 0.000 0.000 0.000  -0.05
4 Pd 0.217 0.555 0.444  0.07
5 Pd 0.880 0.222 0.778  0.12
6 Pd 0.783 0.445 0.556  0.07
7 Pd 0.451 0.115 0.883  0.13
8 Pd 0.120 0.778 0.222  0.12
9 Pd 0.549 0.885 0.117  0.13

Computed properties:
- calculated volume (Å³ per cell) = 141.7
- total magnetization (μB/cell) = 8.64
- total energy (eV per atom) = -6.257
- space group = P-1

Record 3
Computed, not measured: a relaxed Ba2FePb crystal at the PBE level of DFT.

Lattice parameters (Å, degrees): 5.652 5.652 5.652 60.00 60.00 60.00
Each line ends with the local moment (μB).
Atoms (fractional coordinates):
1 Ba 0.000 0.000 0.000  -0.13
2 Ba 0.250 0.250 0.250  -0.11
3 Fe 0.500 0.500 0.500  2.77
4 Pb 0.750 0.750 0.750  -0.03

Computed properties:
- calculated volume (Å³ per cell) = 127.7
- total magnetization (μB/cell) = 2.16
- E above lowest polymorph (meV per atom) = 249.8
- space group = F-43m

Record 4
Computed, not measured: a relaxed TcBi3Cl crystal at the PBE level of DFT.

Lattice parameters (Å, degrees): 5.425 5.425 5.425 90.00 90.00 90.00
Each line ends with the local moment (μB).
Atoms (fractional coordinates):
1 Cl 0.000 0.000 0.000  -0.04
2 Bi 0.000 0.500 0.000  -0.22
3 Bi 0.000 0.000 0.500  -0.17
4 Bi 0.500 0.000 0.000  -0.16
5 Tc 0.500 0.500 0.500  3.24

Computed properties:
- calculated volume (Å³ per cell) = 159.7
- total magnetization (μB/cell) = 2.96
- E above lowest polymorph (meV per atom) = 932.7
- uncorrected formation energy (eV/atom) = 1.25
- space group = Pm-3m

Record 5
Computed, not measured: a relaxed CaAlIn crystal at the PBE level of DFT.

Lattice parameters (Å, degrees): 4.803 4.803 3.727 90.00 90.00 120.00
Atoms (fractional coordinates):
1 Ca 0.667 0.333 0.333
2 Al 0.000 0.000 0.833
3 In 0.333 0.667 0.833

Computed properties:
- calculated volume (Å³ per cell) = 74.4
- total magnetization (μB/cell) = 0.00
- total energy (eV per atom) = -3.133
- space group = P-6m2

Record 6
Computed, not measured: a relaxed SrNb3Se crystal at the PBE level of DFT.

Lattice parameters (Å, degrees): 4.929 4.929 4.929 90.00 90.00 90.00
Atoms (fractional coordinates):
1 Sr 0.500 0.500 0.500
2 Nb 0.000 0.500 0.000
3 Nb 0.000 0.000 0.500
4 Nb 0.500 0.000 0.000
5 Se 0.000 0.000 0.000

Computed properties:
- calculated volume (Å³ per cell) = 119.7
- total magnetization (μB/cell) = 0.00
- E above lowest polymorph (meV per atom) = 0.0
- uncorrected formation energy (eV/atom) = 0.58
- space group = Pm-3m

Record 7
Computed, not measured: a relaxed OsPdN2F crystal at the PBE level of DFT.

Lattice parameters (Å, degrees): 3.995 3.995 3.958 90.00 90.00 90.00
Each line ends with the local moment (μB).
Atoms (fractional coordinates):
1 N 0.000 0.500 0.000  -0.13
2 N 0.500 0.000 0.000  -0.13
3 Os 0.500 0.500 0.500  2.70
4 Pd 0.000 0.000 0.000  -0.13
5 F 0.000 0.000 0.500  0.06

Computed properties:
- calculated volume (Å³ per cell) = 63.2
- total magnetization (μB/cell) = 2.55
- E above lowest polymorph (meV per atom) = 1278.5
- uncorrected formation energy (eV/atom) = 1.83
- space group = P4/mmm

Record 8
Computed, not measured: a relaxed Sn2Te2Au crystal at the PBE level of DFT.

Lattice parameters (Å, degrees): 8.218 8.218 4.228 90.00 90.00 90.00
Atoms (fractional coordinates):
1 Te 0.149 0.649 0.500
2 Te 0.649 0.851 0.500
3 Te 0.851 0.351 0.500
4 Te 0.351 0.149 0.500
5 Au 0.000 0.000 0.000
6 Au 0.500 0.500 0.000
7 Sn 0.332 0.832 0.000
8 Sn 0.832 0.668 0.000
9 Sn 0.668 0.168 0.000
10 Sn 0.168 0.332 0.000

Computed properties:
- calculated volume (Å³ per cell) = 285.6
- total magnetization (μB/cell) = 0.00
- E above lowest polymorph (meV per atom) = 128.5
- uncorrected formation energy (eV/atom) = 0.04
- space group = P4/mbm

Record 9
Computed, not measured: a relaxed CeHfSn2 crystal at the PBE level of DFT.

Lattice parameters (Å, degrees): 4.438 4.722 4.722 90.00 90.00 90.00
Each line ends with the local moment (μB).
Atoms (fractional coordinates):
1 Hf 0.500 0.000 0.000  0.16
2 Sn 0.000 0.000 0.500  -0.01
3 Sn 0.000 0.500 0.000  -0.01
4 Ce 0.500 0.500 0.500  0.45

Computed properties:
- calculated volume (Å³ per cell) = 99.0
- total magnetization (μB/cell) = 0.74
- total energy (eV per atom) = -6.330
- space group = P4/mmm

Record 10
Computed, not measured: a relaxed Pr3Cu3Ag crystal at the PBE level of DFT.

Lattice parameters (Å, degrees): 4.384 5.661 14.048 90.00 90.00 112.78
Atoms (fractional coordinates):
1 Pr 0.198 0.395 0.899
2 Pr 0.802 0.605 0.101
3 Pr 0.198 0.395 0.601
4 Pr 0.802 0.605 0.399
5 Pr 0.478 0.957 0.750
6 Pr 0.522 0.043 0.250
7 Cu 0.908 0.815 0.901
8 Cu 0.092 0.185 0.099
9 Cu 0.908 0.815 0.599
10 Cu 0.092 0.185 0.401
11 Cu 0.772 0.544 0.750
12 Cu 0.228 0.456 0.250
13 Ag 0.500 0.000 0.000
14 Ag 0.500 0.000 0.500

Computed properties:
- calculated volume (Å³ per cell) = 321.4
- total magnetization (μB/cell) = 0.00
- total energy (eV per atom) = -4.387
- space group = Cmcm

Record 11
Computed, not measured: a relaxed SrMgRe crystal at the PBE level of DFT.

Lattice parameters (Å, degrees): 7.897 7.897 7.897 158.56 158.56 30.51
Atoms (fractional coordinates):
1 Mg 0.978 0.978 0.000
2 Re 0.344 0.344 0.000
3 Sr 0.678 0.678 0.000

Computed properties:
- calculated volume (Å³ per cell) = 65.8
- total magnetization (μB/cell) = 0.00
- E above lowest polymorph (meV per atom) = 38.3
- space group = I4mm

Record 12
Computed, not measured: a relaxed Sr6BiP2I3 crystal at the PBE level of DFT.

Lattice parameters (Å, degrees): 4.657 9.619 10.688 104.88 102.58 90.00
Atoms (fractional coordinates):
1 Sr 0.337 0.872 0.674
2 Sr 0.681 0.554 0.362
3 Sr 0.663 0.128 0.326
4 Sr 0.019 0.243 0.037
5 Sr 0.981 0.757 0.963
6 Sr 0.319 0.446 0.638
7 Bi 0.500 0.000 0.000
8 P 0.831 0.659 0.662
9 P 0.169 0.341 0.338
10 I 0.500 0.500 0.000
11 I 0.833 0.168 0.667
12 I 0.167 0.832 0.333

Computed properties:
- calculated volume (Å³ per cell) = 450.8
- total magnetization (μB/cell) = 0.00
- uncorrected formation energy (eV/atom) = -1.35
- space group = C2/m

Record 13
Computed, not measured: a relaxed Mg2AuCl crystal at the PBE level of DFT.

Lattice parameters (Å, degrees): 7.952 7.952 7.952 25.47 25.47 25.47
Atoms (fractional coordinates):
1 Au 0.250 0.250 0.250
2 Cl 0.750 0.750 0.750
3 Mg 0.997 0.997 0.997
4 Mg 0.503 0.503 0.503

Computed properties:
- calculated volume (Å³ per cell) = 81.9
- total magnetization (μB/cell) = 0.00
- E above lowest polymorph (meV per atom) = 114.4
- uncorrected formation energy (eV/atom) = -0.74
- space group = R-3m

Record 14
Computed, not measured: a relaxed Rb3GaIr crystal at the PBE level of DFT.

Lattice parameters (Å, degrees): 6.395 6.395 6.395 90.00 90.00 90.00
Each line ends with the local moment (μB).
Atoms (fractional coordinates):
1 Ir 0.000 0.000 0.000  0.93
2 Ga 0.500 0.500 0.500  0.32
3 Rb 0.000 0.500 0.000  0.02
4 Rb 0.000 0.000 0.500  0.02
5 Rb 0.500 0.000 0.000  0.03

Computed properties:
- calculated volume (Å³ per cell) = 261.5
- total magnetization (μB/cell) = 2.69
- total energy (eV per atom) = -2.077
- space group = Pm-3m

Record 15
Computed, not measured: a relaxed Li2CrH6 crystal at the PBE level of DFT.

Lattice parameters (Å, degrees): 2.997 4.573 5.253 115.81 106.56 90.00
Each line ends with the local moment (μB).
Atoms (fractional coordinates):
1 Li 0.672 0.672 0.344  -0.01
2 Li 0.328 0.328 0.656  -0.01
3 Cr 0.000 0.000 0.000  2.01
4 H 0.144 0.382 0.288  -0.01
5 H 0.856 0.094 0.712  -0.01
6 H 0.856 0.618 0.712  -0.01
7 H 0.500 0.199 0.000  -0.03
8 H 0.144 0.906 0.288  -0.01
9 H 0.500 0.801 0.000  -0.03

Computed properties:
- calculated volume (Å³ per cell) = 61.5
- total magnetization (μB/cell) = 2.00
- E above lowest polymorph (meV per atom) = 0.0
- space group = Immm

Record 16
Computed, not measured: a relaxed Ce8Ir3SeBr4 crystal at the PBE level of DFT.

Lattice parameters (Å, degrees): 8.322 8.850 8.322 118.04 120.00 90.00
Each line ends with the local moment (μB).
Atoms (fractional coordinates):
1 Ce 0.242 0.709 0.967  0.90
2 Ce 0.242 0.709 0.485  0.90
3 Ce 0.268 0.303 0.535  0.70
4 Ce 0.724 0.709 0.967  0.90
5 Ce 0.276 0.291 0.033  0.90
6 Ce 0.732 0.697 0.465  0.70
7 Ce 0.758 0.291 0.515  0.90
8 Ce 0.758 0.291 0.033  0.90
9 Ir 0.500 0.500 0.000  -0.05
10 Ir 0.500 0.500 0.500  -0.05
11 Ir 0.000 0.500 0.500  -0.05
12 Se 0.000 0.500 0.000  -0.02
13 Br 0.500 0.000 0.000  -0.01
14 Br 0.500 0.000 0.500  -0.01
15 Br 0.000 0.000 0.000  -0.01
16 Br 0.000 0.000 0.500  -0.01

Computed properties:
- calculated volume (Å³ per cell) = 445.8
- total magnetization (μB/cell) = 8.30
- uncorrected formation energy (eV/atom) = -1.13
- space group = R-3m

Record 17
Computed, not measured: a relaxed In2FeNi crystal at the PBE level of DFT.

Lattice parameters (Å, degrees): 4.571 4.571 4.571 60.00 60.00 60.00
Each line ends with the local moment (μB).
Atoms (fractional coordinates):
1 Fe 0.500 0.500 0.500  2.60
2 In 0.000 0.000 0.000  -0.01
3 In 0.250 0.250 0.250  -0.05
4 Ni 0.750 0.750 0.750  0.28

Computed properties:
- calculated volume (Å³ per cell) = 67.5
- total magnetization (μB/cell) = 2.83
- total energy (eV per atom) = -4.549
- space group = F-43m

Record 18
Computed, not measured: a relaxed ScPaBiC crystal at the PBE level of DFT.

Lattice parameters (Å, degrees): 4.464 4.464 8.971 90.00 90.00 90.00
Atoms (fractional coordinates):
1 Sc 0.000 0.000 0.500
2 Sc 0.500 0.500 0.500
3 Pa 0.500 0.000 0.818
4 Pa 0.000 0.500 0.182
5 Bi 0.000 0.500 0.803
6 Bi 0.500 0.000 0.197
7 C 0.000 0.500 0.419
8 C 0.500 0.000 0.581

Computed properties:
- calculated volume (Å³ per cell) = 178.8
- total magnetization (μB/cell) = 0.00
- total energy (eV per atom) = -7.643
- space group = P4/nmm

Record 19
Computed, not measured: a relaxed ReSi2Se crystal at the PBE level of DFT.

Lattice parameters (Å, degrees): 3.065 3.065 7.161 90.00 90.00 90.00
Atoms (fractional coordinates):
1 Re 0.000 0.000 0.464
2 Se 0.500 0.500 0.685
3 Si 0.000 0.000 0.084
4 Si 0.500 0.500 0.267

Computed properties:
- calculated volume (Å³ per cell) = 67.3
- total magnetization (μB/cell) = 0.00
- uncorrected formation energy (eV/atom) = 0.19
- space group = P4mm

Record 20
Computed, not measured: a relaxed TmVRu2 crystal at the PBE level of DFT.

Lattice parameters (Å, degrees): 3.175 4.503 4.503 90.00 90.00 90.00
Atoms (fractional coordinates):
1 Ru 0.000 0.000 0.500
2 Ru 0.000 0.500 0.000
3 Tm 0.500 0.500 0.500
4 V 0.500 0.000 0.000

Computed properties:
- calculated volume (Å³ per cell) = 64.4
- total magnetization (μB/cell) = 0.00
- total energy (eV per atom) = -8.260
- space group = P4/mmm